w.
4
Lattice="0.000 3.575 3.575 3.575 0.000 3.575 3.575 3.575 0.000" Properties=species:S:1:pos:R:3 comment="GaCuBr2, relaxed, DFT GGA-PBE" sg="Fm-3m (225)" pbc="T T T"
Ga 0.000 0.000 0.000
Cu 3.575 3.575 3.575
Br 1.788 1.788 1.788
Br 5.363 5.363 5.363

=====

x.
8
Lattice="-3.479 3.479 4.881 3.479 -3.479 4.881 3.479 3.479 -4.881" Properties=species:S:1:pos:R:3 comment="GaCuBr2, relaxed, DFT GGA-PBE" sg="I-42d (122)" pbc="T T T"
Ga 0.000 0.000 0.000
Ga 0.000 3.479 2.440
Cu 3.479 0.000 2.440
Cu 0.000 0.000 4.881
Br 1.740 2.215 -1.220
Br 4.744 1.740 1.220
Br 1.740 1.264 3.661
Br -1.264 1.740 6.101

=====

Result of the stability comparison: w is the least stable of them.

=====

w.
5
Lattice="4.961 0.000 0.000 0.000 4.961 0.000 0.000 0.000 5.254" Properties=species:S:1:pos:R:3 comment="GaCuSe2Br, relaxed, DFT GGA-PBE" sg="P4/mmm (123)" pbc="T T T"
Ga 0.000 0.000 0.000
Cu 2.480 2.480 2.627
Se 0.000 2.480 0.000
Se 2.480 0.000 0.000
Br 0.000 0.000 2.627

=====

x.
5
Lattice="4.767 0.000 0.000 0.000 4.767 0.000 0.000 0.000 5.433" Properties=species:S:1:pos:R:3 comment="GaCuSe2Br, relaxed, DFT GGA-PBE" sg="P4/mmm (123)" pbc="T T T"
Ga 0.000 0.000 0.000
Cu 2.384 2.384 2.716
Se 0.000 2.384 2.716
Se 2.384 0.000 2.716
Br 2.384 2.384 0.000

=====

Result of the stability comparison: w is the least stable of them.

=====

w.
5
Lattice="5.190 0.000 0.000 0.000 5.190 0.000 0.000 0.000 5.012" Properties=species:S:1:pos:R:3 comment="GaCuSeBr2, relaxed, DFT GGA-PBE" sg="P4/mmm (123)" pbc="T T T"
Ga 0.000 0.000 0.000
Cu 2.595 2.595 2.506
Se 0.000 0.000 2.506
Br 0.000 2.595 0.000
Br 2.595 0.000 0.000

=====

x.
5
Lattice="5.150 0.000 0.000 0.000 5.150 0.000 0.000 0.000 4.809" Properties=species:S:1:pos:R:3 comment="GaCuSeBr2, relaxed, DFT GGA-PBE" sg="P4/mmm (123)" pbc="T T T"
Ga 0.000 0.000 0.000
Cu 2.575 2.575 2.404
Se 2.575 2.575 0.000
Br 0.000 2.575 2.404
Br 2.575 0.000 2.404

=====

Result of the stability comparison: w is the least stable of them.

=====

w.
4
Lattice="0.000 3.265 3.265 3.265 0.000 3.265 3.265 3.265 0.000" Properties=species:S:1:pos:R:3 comment="Cu2GeBr, relaxed, DFT GGA-PBE" sg="Fm-3m (225)" pbc="T T T"
Cu 1.632 1.632 1.632
Cu 4.897 4.897 4.897
Ge 0.000 0.000 0.000
Br 3.265 3.265 3.265

=====

x.
8
Lattice="-3.081 3.081 4.540 3.081 -3.081 4.540 3.081 3.081 -4.540" Properties=species:S:1:pos:R:3 comment="Cu2GeBr, relaxed, DFT GGA-PBE" sg="I-42d (122)" pbc="T T T"
Cu 4.621 1.428 -1.135
Cu 1.428 1.540 1.135
Cu -1.540 1.652 3.405
Cu 1.652 1.540 5.676
Ge 0.000 0.000 0.000
Ge 0.000 3.081 2.270
Br 3.081 0.000 2.270
Br 0.000 0.000 4.540

=====

Result of the stability comparison: w is the least stable of them.

=====

w.
5
Lattice="5.025 0.000 0.000 0.000 5.025 0.000 0.000 0.000 5.025" Properties=species:S:1:pos:R:3 comment="CuGeBr3, relaxed, DFT GGA-PBE" sg="Pm-3m (221)" pbc="T T T"
Cu 0.000 0.000 0.000
Ge 2.513 2.513 2.513
Br 0.000 0.000 2.513
Br 0.000 2.513 0.000
Br 2.513 0.000 0.000

=====

x.
20
Lattice="7.227 0.000 0.000 0.000 7.874 0.000 -6.807 0.000 11.698" Properties=species:S:1:pos:R:3 comment="CuGeBr3, relaxed, DFT GGA-PBE" sg="P2_1/c (14)" pbc="T T T"
Cu 0.334 1.147 0.445
Cu -3.069 2.790 6.294
Cu 3.489 5.084 5.404
Cu 0.085 6.727 11.253
Ge -1.459 0.694 5.202
Ge -4.862 3.243 11.051
Ge 5.282 4.631 0.647
Ge 1.878 7.180 6.496
Br -4.134 4.568 7.672
Br -0.730 7.243 1.823
Br -2.570 0.858 7.536
Br 0.833 3.079 1.687
Br -3.729 5.744 11.656
Br -0.325 6.067 5.807
Br 0.745 1.807 5.890
Br 4.148 2.130 0.041
Br -0.414 4.795 10.011
Br 2.990 7.016 4.162
Br 1.149 0.631 9.874
Br 4.553 3.306 4.025

=====

y.
5
Lattice="5.372 0.000 0.000 0.000 5.372 0.000 0.000 0.000 5.372" Properties=species:S:1:pos:R:3 comment="CuGeBr3, relaxed, DFT GGA-PBE" sg="Pm-3m (221)" pbc="T T T"
Cu 0.000 0.000 0.000
Ge 2.686 2.686 2.686
Br 0.000 2.686 2.686
Br 2.686 0.000 2.686
Br 2.686 2.686 0.000

=====

Result of the stability comparison: y is the least stable of them.

=====

w.
5
Lattice="5.147 0.000 0.000 0.000 5.147 0.000 0.000 0.000 5.147" Properties=species:S:1:pos:R:3 comment="CuGe3Br, relaxed, DFT GGA-PBE" sg="Pm-3m (221)" pbc="T T T"
Cu 0.000 0.000 0.000
Ge 0.000 2.573 2.573
Ge 2.573 0.000 2.573
Ge 2.573 2.573 0.000
Br 2.573 2.573 2.573

=====

x.
5
Lattice="4.826 0.000 0.000 0.000 4.826 0.000 0.000 0.000 4.826" Properties=species:S:1:pos:R:3 comment="CuGe3Br, relaxed, DFT GGA-PBE" sg="Pm-3m (221)" pbc="T T T"
Cu 0.000 0.000 0.000
Ge 0.000 0.000 2.413
Ge 0.000 2.413 0.000
Ge 2.413 0.000 0.000
Br 2.413 2.413 2.413

=====

Result of the stability comparison: w is the least stable of them.

=====

w.
5
Lattice="4.873 0.000 0.000 0.000 4.873 0.000 0.000 0.000 5.067" Properties=species:S:1:pos:R:3 comment="CuGeSeBr2, relaxed, DFT GGA-PBE" sg="P4/mmm (123)" pbc="T T T"
Cu 0.000 0.000 0.000
Ge 2.436 2.436 2.533
Se 0.000 0.000 2.533
Br 0.000 2.436 0.000
Br 2.436 0.000 0.000

=====

x.
5
Lattice="5.235 0.000 0.000 0.000 5.235 0.000 0.000 0.000 5.124" Properties=species:S:1:pos:R:3 comment="CuGeSeBr2, relaxed, DFT GGA-PBE" sg="P4/mmm (123)" pbc="T T T"
Cu 0.000 0.000 0.000
Ge 2.618 2.618 2.562
Se 2.618 2.618 0.000
Br 0.000 2.618 2.562
Br 2.618 0.000 2.562

=====

Result of the stability comparison: x is the least stable of them.

=====

w.
8
Lattice="-2.689 2.689 5.257 2.689 -2.689 5.257 2.689 2.689 -5.257" Properties=species:S:1:pos:R:3 comment="CuHBr2, relaxed, DFT GGA-PBE" sg="I-42d (122)" pbc="T T T"
Cu 0.000 0.000 0.000
Cu 0.000 2.689 2.629
H 2.689 0.000 2.629
H 0.000 0.000 5.257
Br 1.344 -1.130 3.943
Br 1.559 1.344 1.314
Br 1.344 3.819 -1.314
Br 1.130 1.344 6.571

=====

x.
4
Lattice="0.000 3.308 3.308 3.308 0.000 3.308 3.308 3.308 0.000" Properties=species:S:1:pos:R:3 comment="CuHBr2, relaxed, DFT GGA-PBE" sg="Fm-3m (225)" pbc="T T T"
Cu 0.000 0.000 0.000
H 3.308 3.308 3.308
Br 1.654 1.654 1.654
Br 4.962 4.962 4.962

=====

y.
8
Lattice="6.491 0.000 0.000 -1.194 6.436 0.000 -2.478 -3.356 5.262" Properties=species:S:1:pos:R:3 comment="CuHBr2, relaxed, DFT GGA-PBE" sg="P1 (1)" pbc="T T T"
Cu 0.000 0.000 0.000
Cu -0.992 2.555 2.639
H 2.102 0.791 3.609
H 3.203 5.271 1.660
Br -2.565 4.059 3.300
Br 0.755 1.259 1.973
Br 4.023 -0.215 0.561
Br 3.110 0.609 4.703

=====

z.
16
Lattice="7.543 0.000 0.000 0.000 7.073 0.000 0.000 0.000 7.044" Properties=species:S:1:pos:R:3 comment="CuHBr2, relaxed, DFT GGA-PBE" sg="Pna2_1 (33)" pbc="T T T"
Cu 0.543 0.706 0.000
Cu 3.228 4.242 3.522
Cu 4.315 2.831 0.000
Cu 7.000 6.367 3.522
H 0.673 2.896 2.537
H 3.099 6.432 6.059
H 4.444 0.641 2.537
H 6.870 4.177 6.059
Br 0.757 0.958 2.365
Br 0.941 4.437 2.464
Br 2.831 0.901 5.986
Br 3.014 4.494 5.887
Br 4.529 2.579 2.365
Br 4.712 6.172 2.464
Br 6.602 2.636 5.986
Br 6.786 6.115 5.887

=====

Result of the stability comparison: x is the least stable of them.

=====

w.
5
Lattice="3.837 0.000 0.000 0.000 3.837 0.000 0.000 0.000 3.837" Properties=species:S:1:pos:R:3 comment="CuH3Br, relaxed, DFT GGA-PBE" sg="Pm-3m (221)" pbc="T T T"
Cu 0.000 0.000 0.000
H 0.000 1.919 1.919
H 1.919 0.000 1.919
H 1.919 1.919 0.000
Br 1.919 1.919 1.919

=====

x.
5
Lattice="3.650 0.000 0.000 0.000 3.650 0.000 0.000 0.000 3.650" Properties=species:S:1:pos:R:3 comment="CuH3Br, relaxed, DFT GGA-PBE" sg="Pm-3m (221)" pbc="T T T"
Cu 0.000 0.000 0.000
H 0.000 0.000 1.825
H 0.000 1.825 0.000
H 1.825 0.000 0.000
Br 1.825 1.825 1.825

=====

Result of the stability comparison: w is the least stable of them.

=====

w.
5
Lattice="5.020 0.000 0.000 0.000 5.020 0.000 0.000 0.000 5.020" Properties=species:S:1:pos:R:3 comment="CuHBr3, relaxed, DFT GGA-PBE" sg="Pm-3m (221)" pbc="T T T"
Cu 0.000 0.000 0.000
H 2.510 2.510 2.510
Br 0.000 0.000 2.510
Br 0.000 2.510 0.000
Br 2.510 0.000 0.000

=====

x.
10
Lattice="4.019 0.000 0.000 0.500 7.204 0.000 0.682 3.078 10.978" Properties=species:S:1:pos:R:3 comment="CuHBr3, relaxed, DFT GGA-PBE" sg="P-1 (2)" pbc="T T T"
Cu 0.818 2.239 2.181
Cu 4.383 8.043 8.797
H 1.400 5.107 1.030
H 3.802 5.175 9.949
Br 1.300 8.559 6.695
Br 1.116 4.781 2.451
Br 2.355 8.812 9.917
Br 2.847 1.470 1.061
Br 4.085 5.501 8.527
Br 3.902 1.723 4.284

=====

y.
5
Lattice="4.697 0.000 0.000 0.000 4.697 0.000 0.000 0.000 4.697" Properties=species:S:1:pos:R:3 comment="CuHBr3, relaxed, DFT GGA-PBE" sg="Pm-3m (221)" pbc="T T T"
Cu 0.000 0.000 0.000
H 2.348 2.348 2.348
Br 0.000 2.348 2.348
Br 2.348 0.000 2.348
Br 2.348 2.348 0.000

=====

Result of the stability comparison: y is the least stable of them.

=====

w.
5
Lattice="4.748 0.000 0.000 0.000 4.748 0.000 0.000 0.000 4.748" Properties=species:S:1:pos:R:3 comment="Cu3HBr, relaxed, DFT GGA-PBE" sg="Pm-3m (221)" pbc="T T T"
Cu 0.000 0.000 2.374
Cu 0.000 2.374 0.000
Cu 2.374 0.000 0.000
H 2.374 2.374 2.374
Br 0.000 0.000 0.000

=====

x.
5
Lattice="4.003 0.000 0.000 0.000 4.003 0.000 0.000 0.000 4.003" Properties=species:S:1:pos:R:3 comment="Cu3HBr, relaxed, DFT GGA-PBE" sg="Pm-3m (221)" pbc="T T T"
Cu 0.000 0.000 2.002
Cu 0.000 2.002 0.000
Cu 2.002 0.000 0.000
H 0.000 0.000 0.000
Br 2.002 2.002 2.002

=====

Result of the stability comparison: w is the least stable of them.